Entry from OQMD: SmDyIn2 after structural relaxation (PBE).

Results
- excess energy over the best structure of this formula in the dataset (meV per atom) = 46

```
data_SmDyIn2
_space_group_name_H-M_alt 'A m m 2'
_space_group_IT_number 38
_space_group_name_Hall 'A 2 -2'
_cell_length_a 4.347
_cell_length_b 4.590
_cell_length_c 11.595
_cell_angle_alpha 90.00
_cell_angle_beta 90.00
_cell_angle_gamma 90.00
loop_
_atom_site_label
_atom_site_fract_x
_atom_site_fract_y
_atom_site_fract_z
Sm1 0.000 0.000 0.000
Dy1 0.500 0.000 0.278
In1 0.000 0.000 0.725
In2 0.500 0.000 0.555
```